(1)
Mg2ZrBr: optimized geometry, PBE.

The uncorrected formation energy is -0.019 eV per atom. The total energy is -13.5 eV per cell. Its theoretical density is 3.99 g/cm3. As for the volume: 91.38 Å³/f.u. For the magnetization, the calculation gives 0.000 μB per atom.

It has space group Pmmm (No. 47), with a = 3.223 Å, b = 4.981 Å, c = 5.692 Å, α = 90.00°, β = 90.00° and γ = 90.00°. Symmetry generates all atoms from Mg at (0.000, 0.000, 0.000), Mg at (0.500, 0.500, 0.000), Zr at (0.000, 0.500, 0.500) and Br at (0.500, 0.000, 0.500).

(2)
GaBr2F: optimized geometry, PBE.

The uncorrected formation energy is -0.343 eV per atom. The total energy is -38.5 eV per cell. Its theoretical density is 5.61 g/cm3. As for the volume: 73.58 Å³/f.u. For the magnetization, the calculation gives 0.000 μB per atom.

It has space group Fm-3m (No. 225), with a = 6.652 Å, b = 6.652 Å, c = 6.652 Å, α = 90.00°, β = 90.00° and γ = 90.00°. Symmetry generates all atoms from Ga at (0.000, 0.000, 0.000), Br at (0.250, 0.250, 0.250) and F at (0.000, 0.000, 0.500).

(3)
Hf2Ta2Ga7: optimized geometry, PBE.

The total energy is -130.2 eV per cell. The value obtained for the formation energy is -31 kJ/mol of formula units. Its theoretical density is 10.19 g/cm3. As for the volume: 196.69 Å³/f.u. For the magnetization, the calculation gives 0.000 μB per atom.

It has space group C2/m (No. 12), with a = 10.657 Å, b = 8.441 Å, c = 4.755 Å, α = 90.00°, β = 113.11° and γ = 90.00°. Symmetry generates all atoms from Hf at (0.000, 0.192, 0.000), Ta at (0.243, 0.500, 0.205), Ga at (0.000, 0.000, 0.500), Ga at (0.003, 0.500, 0.251) and Ga at (0.192, 0.312, 0.682).

(4)
LiHo2GaS5: optimized geometry, PBE.

The uncorrected formation energy is -1.537 eV per atom. The total energy is -194.3 eV per cell. Its theoretical density is 5.38 g/cm3. As for the volume: 174.80 Å³/f.u. For the magnetization, the calculation gives 0.000 μB per atom.

It has space group Cmc2_1 (No. 36), with a = 3.753 Å, b = 16.663 Å, c = 11.179 Å, α = 90.00°, β = 90.00° and γ = 90.00°. Symmetry generates all atoms from Li at (0.000, 0.213, 0.000), Ho at (0.000, 0.122, 0.661), Ho at (0.000, 0.134, 0.285), Ga at (0.000, 0.433, 0.437), S at (0.000, 0.043, 0.050), S at (0.000, 0.292, 0.652), S at (0.000, 0.316, 0.330), S at (0.000, 0.358, 0.981) and S at (0.000, 0.498, 0.761).

(5)
HoNi2Ge: optimized geometry, PBE.

The total energy is -69.1 eV per cell. The value obtained for the formation energy is -221 kJ/mol of formula units. Its theoretical density is 8.91 g/cm3. As for the volume: 66.14 Å³/f.u. For the magnetization, the calculation gives 0.000 μB per atom.

It has space group R-3m (No. 166, hexagonal axes), with a = 4.0898 Å, b = 4.0898 Å, c = 13.6977 Å, α = 90.00°, β = 90.00° and γ = 120.00°. Symmetry generates all atoms from Ho at (0.0000, 0.0000, 0.0000), Ni at (0.0000, 0.0000, 0.2027) and Ge at (0.0000, 0.0000, 0.5000).

(6)
LiAsPd14: optimized geometry, PBE.

The total energy is -163.0 eV per cell. The value obtained for the formation energy is -216 kJ/mol of formula units. Its theoretical density is 10.75 g/cm3. As for the volume: 242.89 Å³/f.u. For the magnetization, the calculation gives 0.000 μB per atom.

It has space group Amm2 (No. 38), with a = 9.104 Å, b = 5.672 Å, c = 9.407 Å, α = 90.00°, β = 90.00° and γ = 90.00°. Symmetry generates all atoms from Li at (0.000, 0.000, 0.000), As at (0.000, 0.000, 0.501), Pd at (0.000, 0.247, 0.259), Pd at (0.233, 0.246, 0.546), Pd at (0.252, 0.000, 0.800), Pd at (0.255, 0.000, 0.293), Pd at (0.500, 0.000, 0.114), Pd at (0.500, 0.000, 0.618) and Pd at (0.500, 0.249, 0.368).

(7)
Cr4CoW: optimized geometry, PBE.

The total energy is -229.9 eV per cell. The value obtained for the formation energy is 104 kJ/mol of formula units. Its theoretical density is 10.07 g/cm3. As for the volume: 74.36 Å³/f.u. For the magnetization, the calculation gives 0.079 μB per atom.

It has space group F-43m (No. 216), with a = 6.675 Å, b = 6.675 Å, c = 6.675 Å, α = 90.00°, β = 90.00° and γ = 90.00°. Symmetry generates all atoms from Cr at (0.124, 0.124, 0.124), Co at (0.000, 0.000, 0.500) and W at (0.250, 0.250, 0.750).

(8)
ZnWS2: optimized geometry, PBE.

The uncorrected formation energy is 0.073 eV per atom. The total energy is -88.8 eV per cell. Its theoretical density is 6.56 g/cm3. As for the volume: 79.31 Å³/f.u. For the magnetization, the calculation gives 0.241 μB per atom.

It has space group I-42d (No. 122), with a = 5.607 Å, b = 5.607 Å, c = 10.091 Å, α = 90.00°, β = 90.00° and γ = 90.00°. Symmetry generates all atoms from Zn at (0.000, 0.000, 0.000), W at (0.000, 0.000, 0.500) and S at (0.247, 0.250, 0.625).

(9)
MnHN: optimized geometry, PBE.

The total energy is -20.5 eV per cell. Its theoretical density is 4.19 g/cm3. As for the volume: 27.69 Å³/f.u. For the magnetization, the calculation gives 0.436 μB per atom.

It has space group P4mm (No. 99), with a = 2.591 Å, b = 2.591 Å, c = 4.126 Å, α = 90.00°, β = 90.00° and γ = 90.00°. Symmetry generates all atoms from Mn at (0.000, 0.000, 0.000), H at (0.500, 0.500, 0.585) and N at (0.500, 0.500, 0.841).

(10)
Ta2NbP: optimized geometry, PBE.

The total energy is -83.2 eV per cell. The value obtained for the formation energy is -232 kJ/mol of formula units. Its theoretical density is 12.12 g/cm3. As for the volume: 66.55 Å³/f.u. For the magnetization, the calculation gives 0.000 μB per atom.

It has space group P2_1/m (No. 11), with a = 3.435 Å, b = 8.007 Å, c = 5.132 Å, α = 90.00°, β = 109.44° and γ = 90.00°. Symmetry generates all atoms from Ta at (0.143, 0.055, 0.285), Nb at (0.453, 0.250, 0.906) and P at (0.254, 0.750, 0.510).

(11)
NaTl2NiBi: optimized geometry, PBE.

The total energy is -15.6 eV per cell. The value obtained for the formation energy is 12 kJ/mol of formula units. Its theoretical density is 8.18 g/cm3. As for the volume: 142.02 Å³/f.u. For the magnetization, the calculation gives 0.000 μB per atom.

It has space group P4/mmm (No. 123), with a = 5.120 Å, b = 5.120 Å, c = 5.417 Å, α = 90.00°, β = 90.00° and γ = 90.00°. Symmetry generates all atoms from Na at (0.000, 0.000, 0.000), Tl at (0.000, 0.500, 0.500), Ni at (0.500, 0.500, 0.500) and Bi at (0.500, 0.500, 0.000).

(12)
KPuGe2I8: optimized geometry, PBE.

The uncorrected formation energy is -0.700 eV per atom. The total energy is -45.5 eV per cell. Its theoretical density is 4.47 g/cm3. As for the volume: 535.69 Å³/f.u. For the magnetization, the calculation gives 0.417 μB per atom.

It has space group P-1 (No. 2), with a = 7.326 Å, b = 7.709 Å, c = 9.539 Å, α = 85.98°, β = 86.61° and γ = 86.80°. Symmetry generates all atoms from K at (0.000, 0.000, 0.000), Pu at (0.000, 0.000, 0.500), Ge at (0.463, 0.473, 0.243), I at (0.242, 0.328, 0.478), I at (0.259, 0.831, 0.273), I at (0.261, 0.839, 0.724) and I at (0.274, 0.369, 0.028).

(13)
EuScH: optimized geometry, PBE.

The total energy is -40.8 eV per cell. Its theoretical density is 5.35 g/cm3. As for the volume: 61.43 Å³/f.u. For the magnetization, the calculation gives 2.584 μB per atom.

It has space group P2_1/m (No. 11), with a = 5.501 Å, b = 3.375 Å, c = 6.618 Å, α = 90.00°, β = 90.23° and γ = 90.00°. Symmetry generates all atoms from Eu at (0.248, 0.250, 0.122), Sc at (0.262, 0.750, 0.585) and H at (0.498, 0.750, 0.336).

(14)
Pd4SeI: optimized geometry, PBE.

The uncorrected formation energy is -0.027 eV per atom. The total energy is -103.9 eV per cell. Its theoretical density is 8.71 g/cm3. As for the volume: 120.37 Å³/f.u. For the magnetization, the calculation gives 0.000 μB per atom.

It has space group C2/c (No. 15), with a = 7.142 Å, b = 17.752 Å, c = 5.133 Å, α = 90.00°, β = 132.27° and γ = 90.00°. Symmetry generates all atoms from Pd at (0.140, 0.226, 0.139), Pd at (0.231, 0.463, 0.097), Se at (0.000, 0.343, 0.750) and I at (0.000, 0.095, 0.250).

(15)
Fe4Pt: optimized geometry, PBE.

The total energy is -80.7 eV per cell. The value obtained for the formation energy is -44 kJ/mol of formula units. Its theoretical density is 10.91 g/cm3. As for the volume: 63.71 Å³/f.u. For the magnetization, the calculation gives 2.269 μB per atom.

It has space group I4/m (No. 87), with a = 6.600 Å, b = 6.600 Å, c = 2.926 Å, α = 90.00°, β = 90.00° and γ = 90.00°. Symmetry generates all atoms from Fe at (0.107, 0.688, 0.000) and Pt at (0.000, 0.000, 0.500).

(16)
Ho2ErIr: optimized geometry, PBE.

The total energy is -100.0 eV per cell. The value obtained for the formation energy is -233 kJ/mol of formula units. Its theoretical density is 10.88 g/cm3. As for the volume: 105.17 Å³/f.u. For the magnetization, the calculation gives 0.000 μB per atom.

It has space group Pnma (No. 62), with a = 7.189 Å, b = 9.196 Å, c = 6.363 Å, α = 90.00°, β = 90.00° and γ = 90.00°. Symmetry generates all atoms from Ho at (0.178, 0.062, 0.175), Er at (0.034, 0.250, 0.630) and Ir at (0.115, 0.750, 0.958).

(17)
TiCu2Ni5: optimized geometry, PBE.

The total energy is -93.4 eV per cell. The value obtained for the formation energy is -165 kJ/mol of formula units. Its theoretical density is 8.41 g/cm3. As for the volume: 92.49 Å³/f.u. For the magnetization, the calculation gives 0.000 μB per atom.

It has space group I4/mmm (No. 139), with a = 3.630 Å, b = 3.630 Å, c = 14.037 Å, α = 90.00°, β = 90.00° and γ = 90.00°. Symmetry generates all atoms from Ti at (0.000, 0.000, 0.000), Cu at (0.000, 0.000, 0.251), Ni at (0.000, 0.000, 0.500) and Ni at (0.000, 0.500, 0.125).

(18)
Hf6IrN2: optimized geometry, PBE.

The uncorrected formation energy is -0.819 eV per atom. The total energy is -185.2 eV per cell. Its theoretical density is 13.28 g/cm3. As for the volume: 161.43 Å³/f.u. For the magnetization, the calculation gives 0.000 μB per atom.

It has space group C2/m (No. 12), with a = 10.850 Å, b = 4.378 Å, c = 7.736 Å, α = 90.00°, β = 118.53° and γ = 90.00°. Symmetry generates all atoms from Hf at (0.024, 0.000, 0.195), Hf at (0.164, 0.500, 0.563), Hf at (0.197, 0.500, 0.090), Ir at (0.000, 0.000, 0.500) and N at (0.186, 0.000, 0.086).

(19)
TbHoBeCo: optimized geometry, PBE.

The total energy is -80.6 eV per cell. The value obtained for the formation energy is -11 kJ/mol of formula units. Its theoretical density is 8.52 g/cm3. As for the volume: 76.37 Å³/f.u. For the magnetization, the calculation gives 0.000 μB per atom.

It has space group F-43m (No. 216), with a = 6.735 Å, b = 6.735 Å, c = 6.735 Å, α = 90.00°, β = 90.00° and γ = 90.00°. Symmetry generates all atoms from Tb at (0.000, 0.000, 0.000), Ho at (0.000, 0.000, 0.500), Be at (0.250, 0.250, 0.750) and Co at (0.250, 0.250, 0.250).

(20)
LaMgMo2: optimized geometry, PBE.

The total energy is -52.4 eV per cell. The value obtained for the formation energy is 190 kJ/mol of formula units. Its theoretical density is 6.82 g/cm3. As for the volume: 86.47 Å³/f.u. For the magnetization, the calculation gives 0.002 μB per atom.

It has space group Cm (No. 8), with a = 8.913 Å, b = 2.849 Å, c = 6.818 Å, α = 90.00°, β = 92.58° and γ = 90.00°. Symmetry generates all atoms from La at (0.000, 0.000, 0.000), Mg at (0.247, 0.000, 0.670), Mo at (0.009, 0.500, 0.457) and Mo at (0.252, 0.500, 0.291).

(21)
CaTbTc2O8: optimized geometry, PBE.

The uncorrected formation energy is -2.021 eV per atom. The total energy is -91.3 eV per cell. Its theoretical density is 4.23 g/cm3. As for the volume: 205.55 Å³/f.u. For the magnetization, the calculation gives 0.250 μB per atom.

It has space group P-3m1 (No. 164), with a = 5.9151 Å, b = 5.9151 Å, c = 6.7838 Å, α = 90.00°, β = 90.00° and γ = 120.00°. Symmetry generates all atoms from Ca at (0.0000, 0.0000, 0.0000), Tb at (0.0000, 0.0000, 0.5000), Tc at (0.3333, 0.6667, 0.8091), O at (0.1619, 0.3237, 0.7288) and O at (0.3333, 0.6667, 0.0675).

(22)
TmNi4Rh: optimized geometry, PBE.

The total energy is -70.9 eV per cell. The value obtained for the formation energy is -50 kJ/mol of formula units. Its theoretical density is 9.67 g/cm3. As for the volume: 86.98 Å³/f.u. For the magnetization, the calculation gives 0.273 μB per atom.

It has space group Pmma (No. 51), with a = 7.189 Å, b = 3.802 Å, c = 6.365 Å, α = 90.00°, β = 90.00° and γ = 90.00°. Symmetry generates all atoms from Tm at (0.250, 0.000, 0.151), Ni at (0.000, 0.000, 0.500), Ni at (0.033, 0.500, 0.787), Ni at (0.250, 0.500, 0.472) and Rh at (0.250, 0.000, 0.747).

(23)
Ho2SnS5: optimized geometry, PBE.

The uncorrected formation energy is -1.337 eV per atom. The total energy is -178.0 eV per cell. Its theoretical density is 4.55 g/cm3. As for the volume: 221.99 Å³/f.u. For the magnetization, the calculation gives 0.000 μB per atom.

It has space group Cmcm (No. 63), with a = 5.226 Å, b = 13.247 Å, c = 12.827 Å, α = 90.00°, β = 90.00° and γ = 90.00°. Symmetry generates all atoms from Ho at (0.000, 0.151, 0.067), Sn at (0.000, 0.175, 0.750), S at (0.000, 0.045, 0.610), S at (0.000, 0.269, 0.250) and S at (0.000, 0.302, 0.590).

(24)
CoReNi2: optimized geometry, PBE.

The total energy is -91.8 eV per cell. The value obtained for the formation energy is 51 kJ/mol of formula units. Its theoretical density is 12.32 g/cm3. As for the volume: 48.88 Å³/f.u. For the magnetization, the calculation gives 0.381 μB per atom.

It has space group R3m (No. 160, hexagonal axes), with a = 2.6231 Å, b = 2.6231 Å, c = 24.6064 Å, α = 90.00°, β = 90.00° and γ = 120.00°. Symmetry generates all atoms from Co at (0.0000, 0.0000, 0.0000), Re at (0.0000, 0.0000, 0.2487), Ni at (0.0000, 0.0000, 0.4958) and Ni at (0.0000, 0.0000, 0.7475).